Compound: Ce3MgGe3
Source: Alexandria via LeMat-Bulk
Functional: GGA-PBE
Structure: relaxed

## Properties
**Calculated total energy**: -5.23 eV per atom

Cell: 6.919 6.919 7.987 Å, 94.70 94.70 114.68°
Site moments in Bohr magnetons follow the coordinates.
Atoms (fractional coordinates):
Ge  0.849  0.545  0.724  -0.01
Ge  0.545  0.849  0.724  -0.01
Ge  0.151  0.455  0.276  -0.01
Ge  0.982  0.982  0.763  0.00
Ge  0.018  0.018  0.237  0.00
Ge  0.455  0.151  0.276  -0.01
Ce  0.183  0.817  0.500  0.68
Ce  0.770  0.230  0.000  0.78
Ce  0.350  0.350  0.606  0.89
Ce  0.650  0.650  0.394  0.89
Ce  0.230  0.770  0.000  0.78
Ce  0.817  0.183  0.500  0.68
Mg  0.703  0.703  0.986  0.01
Mg  0.297  0.297  0.014  0.01

Compound: Ce6Mg23Ge
Source: Alexandria via LeMat-Bulk
Functional: GGA-PBE
Structure: relaxed

## Properties
**Calculated total energy**: -2.64 eV per atom

Cell: 10.224 10.224 10.224 Å, 60.00 60.00 60.00°
Site moments in Bohr magnetons follow the coordinates.
Atoms (fractional coordinates):
Ce  0.205  0.795  0.205  0.85
Ce  0.205  0.795  0.795  0.85
Ce  0.795  0.795  0.205  0.85
Ce  0.795  0.205  0.205  0.85
Ce  0.205  0.205  0.795  0.85
Ce  0.795  0.205  0.795  0.85
Mg  0.621  0.621  0.621  0.00
Mg  0.500  0.000  0.500  0.00
Mg  0.136  0.621  0.621  0.00
Mg  0.508  0.831  0.831  0.00
Mg  0.000  0.000  0.500  0.00
Mg  0.169  0.492  0.169  0.00
Mg  0.831  0.831  0.831  0.00
Mg  0.000  0.500  0.000  0.00
Mg  0.379  0.864  0.379  0.00
Mg  0.831  0.508  0.831  0.00
Mg  0.379  0.379  0.379  0.00
Mg  0.621  0.621  0.136  0.00
Mg  0.864  0.379  0.379  0.00
Mg  0.379  0.379  0.864  0.00
Mg  0.169  0.169  0.169  0.00
Mg  0.500  0.000  0.000  0.00
Mg  0.621  0.136  0.621  0.00
Mg  0.000  0.500  0.500  0.00
Mg  0.492  0.169  0.169  0.00
Mg  0.831  0.831  0.508  0.00
Mg  0.500  0.500  0.500  0.00
Mg  0.500  0.500  0.000  0.00
Mg  0.169  0.169  0.492  0.00
Ge  0.000  0.000  0.000  -0.04

Compound: CeMgGe
Source: Alexandria via LeMat-Bulk
Functional: GGA-PBE
Structure: relaxed

## Properties
**Calculated total energy**: -4.41 eV per atom

Cell: 4.803 4.803 4.803 Å, 60.00 60.00 60.00°
Site moments in Bohr magnetons follow the coordinates.
Atoms (fractional coordinates):
Ce  0.000  0.000  0.000  0.89
Mg  0.500  0.500  0.500  0.01
Ge  0.250  0.250  0.250  0.01

Compound: Ce3Mg2Ge4
Source: Alexandria via LeMat-Bulk
Functional: GGA-PBE
Structure: relaxed

## Properties
**Calculated total energy**: -4.94 eV per atom

Cell: 4.400 6.758 8.064 Å, 109.28 105.83 90.00°
Site moments in Bohr magnetons follow the coordinates.
Atoms (fractional coordinates):
Mg  0.330  0.004  0.659  0.00
Mg  0.670  0.996  0.341  0.00
Ge  0.214  0.234  0.428  -0.03
Ge  0.500  0.311  0.000  -0.02
Ge  0.786  0.766  0.572  -0.03
Ge  0.500  0.689  0.000  -0.02
Ce  0.000  0.000  0.000  0.51
Ce  0.864  0.420  0.728  0.54
Ce  0.136  0.580  0.272  0.54

Compound: CeMgGe
Source: Alexandria via LeMat-Bulk
Functional: GGA-PBE
Structure: relaxed

## Properties
**Calculated total energy**: -4.29 eV per atom

Cell: 3.347 3.347 6.667 Å, 104.54 104.54 90.00°
Site moments in Bohr magnetons follow the coordinates.
Atoms (fractional coordinates):
Ce  0.603  0.603  0.206  0.86
Ge  0.939  0.939  0.878  -0.01
Mg  0.308  0.308  0.616  0.00

Compound: Ce3MgGe5
Source: Alexandria via LeMat-Bulk
Functional: GGA-PBE
Structure: relaxed

## Properties
**Calculated total energy**: -5.30 eV per atom

Cell: 6.031 8.690 8.690 Å, 120.00 90.00 90.00°
Atoms (fractional coordinates):
Ge  0.750  0.717  0.000
Ge  0.250  0.717  0.717
Ge  0.500  0.667  0.333
Ge  0.500  0.333  0.667
Ge  0.750  0.283  0.283
Ge  0.000  0.333  0.667
Ge  0.250  0.283  0.000
Ge  0.250  0.000  0.283
Ge  0.750  0.000  0.717
Ge  0.000  0.667  0.333
Ce  0.250  0.000  0.622
Ce  0.750  0.378  0.000
Ce  0.750  0.622  0.622
Ce  0.250  0.378  0.378
Ce  0.250  0.622  0.000
Ce  0.750  0.000  0.378
Mg  0.500  0.000  0.000
Mg  0.000  0.000  0.000

Compound: CeMgGe
Source: Alexandria via LeMat-Bulk
Functional: GGA-PBE
Structure: relaxed

## Properties
**Calculated total energy**: -4.45 eV per atom

Cell: 4.104 4.497 4.497 Å, 120.00 90.00 90.00°
Site moments in Bohr magnetons follow the coordinates.
Atoms (fractional coordinates):
Mg  0.168  0.000  0.000  0.00
Ge  0.164  0.333  0.667  -0.02
Ce  0.667  0.667  0.333  0.72

Compound: CeMg6Ge2
Source: Alexandria via LeMat-Bulk
Functional: GGA-PBE
Structure: relaxed

## Properties
**Calculated total energy**: -3.00 eV per atom

Cell: 4.317 4.317 10.644 Å, 90.00 90.00 90.00°
Site moments in Bohr magnetons follow the coordinates.
Atoms (fractional coordinates):
Mg  0.000  0.500  0.279  0.00
Mg  0.500  0.500  0.500  0.00
Mg  0.500  0.000  0.721  0.00
Mg  0.500  0.000  0.279  0.00
Mg  0.000  0.000  0.500  0.00
Mg  0.000  0.500  0.721  0.00
Ge  0.500  0.500  0.117  -0.01
Ge  0.500  0.500  0.883  -0.01
Ce  0.000  0.000  0.000  0.74

Compound: Ce8MgGe6
Source: Alexandria via LeMat-Bulk
Functional: GGA-PBE
Structure: relaxed

## Properties
**Calculated total energy**: -5.61 eV per atom

Cell: 8.826 8.826 7.932 Å, 56.20 56.20 60.00°
Site moments in Bohr magnetons follow the coordinates.
Atoms (fractional coordinates):
Ce  0.421  0.765  0.718  0.69
Ce  0.904  0.579  0.282  0.69
Ce  0.096  0.421  0.718  0.69
Ce  0.665  0.665  0.006  0.91
Ce  0.335  0.335  0.994  0.91
Ce  0.579  0.235  0.282  0.69
Ce  0.765  0.096  0.718  0.69
Ce  0.235  0.904  0.282  0.69
Ge  0.595  0.932  0.213  -0.03
Ge  0.740  0.405  0.787  -0.03
Ge  0.068  0.740  0.787  -0.03
Ge  0.260  0.595  0.213  -0.03
Ge  0.405  0.068  0.787  -0.03
Ge  0.932  0.260  0.213  -0.03
Mg  0.000  0.000  0.000  0.01

Compound: Ce2Mg2Ge3
Source: Alexandria via LeMat-Bulk
Functional: GGA-PBE
Structure: relaxed

## Properties
**Calculated total energy**: -4.67 eV per atom

Cell: 4.393 8.136 10.047 Å, 83.27 77.37 74.34°
Site moments in Bohr magnetons follow the coordinates.
Atoms (fractional coordinates):
Ce  0.397  0.258  0.949  0.54
Ce  0.270  0.133  0.326  0.48
Ce  0.730  0.867  0.674  0.48
Ce  0.603  0.742  0.051  0.54
Mg  0.410  0.519  0.661  0.00
Mg  0.948  0.778  0.325  0.00
Mg  0.052  0.222  0.675  0.00
Mg  0.590  0.481  0.339  0.00
Ge  0.637  0.207  0.520  -0.02
Ge  0.363  0.793  0.480  -0.02
Ge  0.083  0.956  0.878  -0.02
Ge  0.836  0.500  0.829  -0.03
Ge  0.917  0.044  0.122  -0.02
Ge  0.164  0.500  0.171  -0.03

Compound: CeMg4Ge2
Source: Alexandria via LeMat-Bulk
Functional: GGA-PBE
Structure: relaxed

## Properties
**Calculated total energy**: -3.41 eV per atom

Cell: 4.269 8.496 8.496 Å, 90.00 90.00 90.00°
Site moments in Bohr magnetons follow the coordinates.
Atoms (fractional coordinates):
Mg  0.000  0.906  0.660  0.00
Mg  0.500  0.840  0.406  0.00
Mg  0.500  0.160  0.594  0.00
Mg  0.000  0.340  0.094  0.00
Mg  0.000  0.094  0.340  0.00
Mg  0.000  0.660  0.906  0.00
Mg  0.500  0.594  0.160  0.00
Mg  0.500  0.406  0.840  0.00
Ce  0.000  0.500  0.500  0.91
Ce  0.500  0.000  0.000  0.91
Ge  0.500  0.698  0.698  -0.02
Ge  0.500  0.302  0.302  -0.02
Ge  0.000  0.802  0.198  -0.02
Ge  0.000  0.198  0.802  -0.02

Compound: CeMgGe
Source: Alexandria via LeMat-Bulk
Functional: GGA-PBE
Structure: relaxed

## Properties
**Calculated total energy**: -4.52 eV per atom

Cell: 4.450 5.602 6.137 Å, 90.00 90.00 113.40°
Site moments in Bohr magnetons follow the coordinates.
Atoms (fractional coordinates):
Ge  0.883  0.766  0.750  -0.01
Ge  0.117  0.234  0.250  -0.01
Ce  0.190  0.380  0.750  0.52
Ce  0.810  0.620  0.250  0.52
Mg  0.500  0.000  0.500  0.01
Mg  0.500  0.000  0.000  0.01

| no. | magnetic moment (μB/f.u.) | energy relative to the elements (eV/atom) |
| --- | --- | --- |
| 1 | 2.96 | -0.481 |
| 2 | 6.33 | -0.074 |
| 3 | 1.12 | -0.362 |
| 4 | 1.64 | -0.560 |
| 5 | 1.13 | -0.239 |
| 6 | 0.00 | -0.584 |
| 7 | 0.84 | -0.401 |
| 8 | 0.80 | -0.250 |
| 9 | 7.30 | -0.491 |
| 10 | 1.03 | -0.541 |
| 11 | 1.06 | -0.328 |
| 12 | 0.69 | -0.467 |